The following is a DFT calculation (GGA+U) of a relaxed structure of VWOF2.

Unit cell a=3.995 b=3.995 c=4.309 alpha=90.00 beta=90.00 gamma=90.00
Fractional positions:
V1 0.000 0.000 0.000
W1 0.500 0.500 0.500
O1 0.000 0.000 0.500
F1 0.000 0.500 0.000
F2 0.500 0.000 0.000

Results
**E_tot**: -5.9148 eV/atom
**Space group**: P4/mmm, No. 123
**Theoretical density**: 6.97 g cm⁻³
**Volume**: 13.8 Å³/atom